Entry 1:
A plane-wave DFT calculation with GGA-PBE was carried out for a relaxed structure of Cs3SrTl3I8.

```
data_Cs3SrTl3I8
_cell_length_a 17.8366
_cell_length_b 10.2840
_cell_length_c 10.7340
_cell_angle_alpha 90.00
_cell_angle_beta 123.69
_cell_angle_gamma 90.00
_symmetry_space_group_name_H-M 'C 1 2/m 1'
_symmetry_Int_Tables_number 12
_symmetry_space_group_name_Hall '-C 2y'
loop_
_atom_site_label
_atom_site_type_symbol
_atom_site_fract_x
_atom_site_fract_y
_atom_site_fract_z
Cs1 Cs 0.0000 0.0000 0.0000
Cs2 Cs 0.2500 0.2500 0.0000
Sr1 Sr 0.0000 0.0000 0.5000
Tl1 Tl 0.0000 0.5000 0.5000
Tl2 Tl 0.2500 0.2500 0.5000
I1 I 0.0078 0.2319 0.2918
I2 I 0.2241 0.0000 0.7085
I3 I 0.2419 0.5000 0.7254
```

Summary:
- Uncorrected formation energy: -1.2284 eV/atom
- Mass density: 4.29 g cm⁻³
- Total DFT energy (no corrections): -2.811 eV/atom

=====

Entry 2:
A plane-wave DFT calculation with GGA-PBE was carried out for a relaxed structure of CuTc2W.

```
data_CuTc2W
_cell_length_a 6.1507
_cell_length_b 6.1507
_cell_length_c 6.1507
_cell_angle_alpha 90.00
_cell_angle_beta 90.00
_cell_angle_gamma 90.00
_symmetry_space_group_name_H-M 'F -4 3 m'
_symmetry_Int_Tables_number 216
_symmetry_space_group_name_Hall 'F -4 2 3'
loop_
_atom_site_label
_atom_site_type_symbol
_atom_site_fract_x
_atom_site_fract_y
_atom_site_fract_z
Cu1 Cu 0.0000 0.0000 0.0000
Tc1 Tc 0.0000 0.0000 0.5000
Tc2 Tc 0.2500 0.2500 0.7500
W1 W 0.2500 0.2500 0.2500
```

Summary:
- Formation energy from the elements: 357 meV per atom
- Energy relative to the lowest polymorph listed for this composition: 199 meV/atom
- Mass density: 12.66 g cm⁻³
- Total DFT energy (no corrections): -9.088 eV/atom

=====

Entry 3:
A plane-wave DFT calculation with GGA-PBE was carried out for a relaxed structure of TbPr2Sc6.

```
data_TbPr2Sc6
_cell_length_a 9.3256
_cell_length_b 9.3256
_cell_length_c 3.3110
_cell_angle_alpha 90.00
_cell_angle_beta 90.00
_cell_angle_gamma 120.00
_symmetry_space_group_name_H-M 'P 6/m m m'
_symmetry_Int_Tables_number 191
_symmetry_space_group_name_Hall '-P 6 2'
loop_
_atom_site_label
_atom_site_type_symbol
_atom_site_fract_x
_atom_site_fract_y
_atom_site_fract_z
Tb1 Tb 0.0000 0.0000 0.0000
Pr1 Pr 0.3333 0.6667 0.0000
Sc1 Sc 0.0000 0.3308 0.5000
```

Summary:
- Formation energy from the elements: 78 meV per atom
- Mass density: 4.73 g cm⁻³
- Total DFT energy (no corrections): -5.719 eV/atom

=====

Entry 4:
A plane-wave DFT calculation with GGA-PBE was carried out for a relaxed structure of Ce12ThIn3.

```
data_Ce12ThIn3
_cell_length_a 4.8050
_cell_length_b 4.8050
_cell_length_c 19.3347
_cell_angle_alpha 90.00
_cell_angle_beta 90.00
_cell_angle_gamma 90.00
_symmetry_space_group_name_H-M 'P 4/m m m'
_symmetry_Int_Tables_number 123
_symmetry_space_group_name_Hall '-P 4 2'
loop_
_atom_site_label
_atom_site_type_symbol
_atom_site_fract_x
_atom_site_fract_y
_atom_site_fract_z
Ce1 Ce 0.0000 0.0000 0.0000
Ce2 Ce 0.0000 0.0000 0.2488
Ce3 Ce 0.0000 0.0000 0.5000
Ce4 Ce 0.0000 0.5000 0.1245
Ce5 Ce 0.0000 0.5000 0.3740
Th1 Th 0.5000 0.5000 0.5000
In1 In 0.5000 0.5000 0.0000
In2 In 0.5000 0.5000 0.2491
```

Summary:
- Formation energy from the elements: -134 meV per atom
- Mass density: 8.40 g cm⁻³
- Total DFT energy (no corrections): -5.562 eV/atom

=====

Entry 5:
A plane-wave DFT calculation with GGA-PBE was carried out for a relaxed structure of FeCoCl2.

```
data_FeCoCl2
_cell_length_a 13.5268
_cell_length_b 3.2677
_cell_length_c 3.8466
_cell_angle_alpha 90.00
_cell_angle_beta 96.16
_cell_angle_gamma 90.00
_symmetry_space_group_name_H-M 'C 1 2/m 1'
_symmetry_Int_Tables_number 12
_symmetry_space_group_name_Hall '-C 2y'
loop_
_atom_site_label
_atom_site_type_symbol
_atom_site_fract_x
_atom_site_fract_y
_atom_site_fract_z
Fe1 Fe 0.0000 0.0000 0.0000
Co1 Co 0.0000 0.5000 0.5000
Cl1 Cl 0.1302 0.5000 0.2002
```

Summary:
- Uncorrected formation energy: -0.1442 eV/atom
- Mass density: 3.65 g cm⁻³
- Total DFT energy (no corrections): -4.960 eV/atom

=====

Entry 6:
A plane-wave DFT calculation with GGA-PBE was carried out for a relaxed structure of InGe2SbIr.

```
data_InGe2SbIr
_cell_length_a 5.3639
_cell_length_b 5.3639
_cell_length_c 4.9419
_cell_angle_alpha 90.00
_cell_angle_beta 90.00
_cell_angle_gamma 90.00
_symmetry_space_group_name_H-M 'P 4/m m m'
_symmetry_Int_Tables_number 123
_symmetry_space_group_name_Hall '-P 4 2'
loop_
_atom_site_label
_atom_site_type_symbol
_atom_site_fract_x
_atom_site_fract_y
_atom_site_fract_z
In1 In 0.0000 0.0000 0.0000
Ge1 Ge 0.0000 0.5000 0.5000
Sb1 Sb 0.5000 0.5000 0.5000
Ir1 Ir 0.5000 0.5000 0.0000
```

Summary:
- Uncorrected formation energy: 0.9833 eV/atom
- Mass density: 6.70 g cm⁻³
- Total DFT energy (no corrections): -4.008 eV/atom

=====

Entry 7:
A plane-wave DFT calculation with GGA-PBE was carried out for a relaxed structure of LiLa3In4.

```
data_LiLa3In4
_cell_length_a 3.6348
_cell_length_b 3.6348
_cell_length_c 16.8200
_cell_angle_alpha 90.00
_cell_angle_beta 90.00
_cell_angle_gamma 90.00
_symmetry_space_group_name_H-M 'P 4/m m m'
_symmetry_Int_Tables_number 123
_symmetry_space_group_name_Hall '-P 4 2'
loop_
_atom_site_label
_atom_site_type_symbol
_atom_site_fract_x
_atom_site_fract_y
_atom_site_fract_z
Li1 Li 0.0000 0.0000 0.0000
La1 La 0.0000 0.0000 0.2289
La2 La 0.0000 0.0000 0.5000
In1 In 0.5000 0.5000 0.0917
In2 In 0.5000 0.5000 0.3638
```

Summary:
- Formation energy from the elements: -460 meV per atom
- Mass density: 6.60 g cm⁻³
- Total DFT energy (no corrections): -3.916 eV/atom

=====

Entry 8:
A plane-wave DFT calculation with GGA-PBE was carried out for a relaxed structure of IrSe2Br.

```
data_IrSe2Br
_cell_length_a 3.8623
_cell_length_b 3.8623
_cell_length_c 22.7727
_cell_angle_alpha 90.00
_cell_angle_beta 90.00
_cell_angle_gamma 120.00
_symmetry_space_group_name_H-M 'R -3 m'
_symmetry_Int_Tables_number 166
_symmetry_space_group_name_Hall '-R 3 2"'
loop_
_atom_site_label
_atom_site_type_symbol
_atom_site_fract_x
_atom_site_fract_y
_atom_site_fract_z
Ir1 Ir 0.0000 0.0000 0.0000
Se1 Se 0.0000 0.0000 0.3848
Br1 Br 0.0000 0.0000 0.5000
```

Summary:
- Energy relative to the lowest polymorph listed for this composition: 0 meV/atom
- Uncorrected formation energy: -0.2286 eV/atom
- Mass density: 7.28 g cm⁻³
- Total DFT energy (no corrections): -4.604 eV/atom

=====

Entry 9:
A plane-wave DFT calculation with GGA-PBE was carried out for a relaxed structure of LaPaBiTe.

```
data_LaPaBiTe
_cell_length_a 7.7648
_cell_length_b 7.7648
_cell_length_c 7.7648
_cell_angle_alpha 90.00
_cell_angle_beta 90.00
_cell_angle_gamma 90.00
_symmetry_space_group_name_H-M 'F -4 3 m'
_symmetry_Int_Tables_number 216
_symmetry_space_group_name_Hall 'F -4 2 3'
loop_
_atom_site_label
_atom_site_type_symbol
_atom_site_fract_x
_atom_site_fract_y
_atom_site_fract_z
La1 La 0.0000 0.0000 0.0000
Pa1 Pa 0.0000 0.0000 0.5000
Bi1 Bi 0.2500 0.2500 0.7500
Te1 Te 0.2500 0.2500 0.2500
```

Summary:
- Uncorrected formation energy: -0.6918 eV/atom
- Mass density: 10.02 g cm⁻³
- Total DFT energy (no corrections): -6.053 eV/atom

=====

Entry 10:
A plane-wave DFT calculation with GGA-PBE was carried out for a relaxed structure of KTl11In.

```
data_KTl11In
_cell_length_a 6.5346
_cell_length_b 16.0465
_cell_length_c 8.6402
_cell_angle_alpha 90.00
_cell_angle_beta 111.39
_cell_angle_gamma 90.00
_symmetry_space_group_name_H-M 'C 1 2/m 1'
_symmetry_Int_Tables_number 12
_symmetry_space_group_name_Hall '-C 2y'
loop_
_atom_site_label
_atom_site_type_symbol
_atom_site_fract_x
_atom_site_fract_y
_atom_site_fract_z
K1 K 0.0000 0.0000 0.0000
Tl1 Tl 0.0000 0.0000 0.5000
Tl2 Tl 0.1031 0.3942 0.2155
Tl3 Tl 0.1828 0.1771 0.3587
Tl4 Tl 0.2500 0.2500 0.0000
In1 In 0.0000 0.5000 0.5000
```

Summary:
- Formation energy from the elements: -6 meV per atom
- Mass density: 9.46 g cm⁻³
- Total DFT energy (no corrections): -2.304 eV/atom

=====

Entry 11:
A plane-wave DFT calculation with GGA-PBE was carried out for a relaxed structure of BeHgS2.

```
data_BeHgS2
_cell_length_a 7.3084
_cell_length_b 3.5854
_cell_length_c 13.8991
_cell_angle_alpha 90.00
_cell_angle_beta 110.68
_cell_angle_gamma 90.00
_symmetry_space_group_name_H-M 'P 1 21/c 1'
_symmetry_Int_Tables_number 14
_symmetry_space_group_name_Hall '-P 2ybc'
loop_
_atom_site_label
_atom_site_type_symbol
_atom_site_fract_x
_atom_site_fract_y
_atom_site_fract_z
Be1 Be 0.2269 0.2490 0.3253
Hg1 Hg 0.4224 0.7494 0.1234
S1 S 0.1485 0.2492 0.1681
S2 S 0.1633 0.7490 0.3905
```

Summary:
- Energy relative to the lowest polymorph listed for this composition: 294 meV/atom
- Uncorrected formation energy: -0.2635 eV/atom
- Mass density: 5.34 g cm⁻³
- Total DFT energy (no corrections): -3.334 eV/atom

=====

Entry 12:
A plane-wave DFT calculation with GGA-PBE was carried out for a relaxed structure of Li2NbRu2.

```
data_Li2NbRu2
_cell_length_a 6.4783
_cell_length_b 6.4783
_cell_length_c 3.1328
_cell_angle_alpha 90.00
_cell_angle_beta 90.00
_cell_angle_gamma 90.00
_symmetry_space_group_name_H-M 'P 4/m b m'
_symmetry_Int_Tables_number 127
_symmetry_space_group_name_Hall '-P 4 2ab'
loop_
_atom_site_label
_atom_site_type_symbol
_atom_site_fract_x
_atom_site_fract_y
_atom_site_fract_z
Li1 Li 0.1050 0.3950 0.0000
Nb1 Nb 0.0000 0.0000 0.0000
Ru1 Ru 0.1978 0.6978 0.5000
```

Summary:
- Formation energy from the elements: 222 meV per atom
- Energy relative to the lowest polymorph listed for this composition: 0 meV/atom
- Mass density: 7.80 g cm⁻³
- Total DFT energy (no corrections): -6.268 eV/atom